[1]
# Sm2P4Rh3 (PBE, optimized geometry)
# total DFT energy (no corrections)	-247.894	eV/cell
# DFT formation energy	-0.982	eV/atom
# density	8.21	g cm⁻³
# Fermi-level density of states	0.487	states/eV/atom
data_Sm2P4Rh3
_chemical_formula_sum 'Sm8 P16 Rh12'
_space_group_name_H-M_alt 'C m c e'
_space_group_IT_number 64
_space_group_name_Hall '-C 2ac 2'
_cell_length_a 5.5737
_cell_length_b 14.7569
_cell_length_c 7.2112
_cell_angle_alpha 90.00
_cell_angle_beta 90.00
_cell_angle_gamma 90.00
loop_
_atom_site_label
_atom_site_fract_x
_atom_site_fract_y
_atom_site_fract_z
Sm1 0.0000 0.1109 0.0871
P1 0.0000 0.1887 0.4632
P2 0.2500 0.0536 0.7500
Rh1 0.0000 0.0000 0.5000
Rh2 0.2500 0.2156 0.7500

[2]
# K2ZnH12Se2O14 (PBE, optimized geometry)
# total DFT energy (no corrections)	-310.010	eV/cell
# density	2.48	g cm⁻³
# Fermi-level density of states	0.000	states/eV/atom
data_K2ZnH12Se2O14
_chemical_formula_sum 'K4 Zn2 H24 Se4 O28'
_space_group_name_H-M_alt 'P 1 21/c 1'
_space_group_IT_number 14
_space_group_name_Hall '-P 2ybc'
_cell_length_a 6.3758
_cell_length_b 12.5277
_cell_length_c 9.2507
_cell_angle_alpha 90.00
_cell_angle_beta 103.42
_cell_angle_gamma 90.00
loop_
_atom_site_label
_atom_site_fract_x
_atom_site_fract_y
_atom_site_fract_z
K1 0.1603 0.1582 0.3629
Zn1 0.5000 0.0000 0.0000
H1 0.1738 0.6383 0.4742
H2 0.1762 0.5590 0.6116
H3 0.1780 0.0872 0.7889
H4 0.3987 0.1259 0.7512
H5 0.4198 0.6004 0.2321
H6 0.4975 0.1883 0.1428
Se1 0.2268 0.6397 0.9116
O1 0.0679 0.7473 0.9047
O2 0.1074 0.5570 0.7734
O3 0.2129 0.5642 0.5122
O4 0.2453 0.5758 0.0722
O5 0.3265 0.1130 0.8338
O6 0.4713 0.1136 0.1721
O7 0.4725 0.6767 0.8907

[3]
# Li3Tm4Ir2 (PBE, optimized geometry)
# total DFT energy (no corrections)	-45.784	eV/cell
# DFT formation energy	-0.493	eV/atom
# density	9.61	g cm⁻³
# Fermi-level density of states	0.422	states/eV/atom
data_Li3Tm4Ir2
_chemical_formula_sum 'Li3 Tm4 Ir2'
_space_group_name_H-M_alt 'P -3 m 1'
_space_group_IT_number 164
_space_group_name_Hall '-P 3 2"'
_cell_length_a 4.7541
_cell_length_b 4.7541
_cell_length_c 9.5417
_cell_angle_alpha 90.00
_cell_angle_beta 90.00
_cell_angle_gamma 120.00
loop_
_atom_site_label
_atom_site_fract_x
_atom_site_fract_y
_atom_site_fract_z
Li1 0.0000 0.0000 0.0000
Li2 0.3333 0.6667 0.4982
Tm1 0.0000 0.0000 0.3112
Tm2 0.3333 0.6667 0.1115
Ir1 0.3333 0.6667 0.7968

[4]
# Li12Mg7Rh (PBE, optimized geometry)
# total DFT energy (no corrections)	-123.970	eV/cell
# DFT formation energy	0.008	eV/atom
# density	1.35	g cm⁻³
# Fermi-level density of states	0.458	states/eV/atom
data_Li12Mg7Rh
_chemical_formula_sum 'Li36 Mg21 Rh3'
_space_group_name_H-M_alt 'R -3'
_space_group_IT_number 148
_space_group_name_Hall '-R 3'
_cell_length_a 16.4682
_cell_length_b 16.4682
_cell_length_c 5.6055
_cell_angle_alpha 90.00
_cell_angle_beta 90.00
_cell_angle_gamma 120.00
loop_
_atom_site_label
_atom_site_fract_x
_atom_site_fract_y
_atom_site_fract_z
Li1 0.0198 0.4170 0.0602
Li2 0.0937 0.8590 0.8325
Mg1 0.0000 0.0000 0.0000
Mg2 0.0552 0.8891 0.3269
Rh1 0.0000 0.0000 0.5000

[5]
# Li2LaMg2 (PBE, optimized geometry)
# energy above the lowest structure with this stoichiometry	8.45	kJ/mol of atoms
# total DFT energy (no corrections)	-23.435	eV/cell
# DFT formation energy	0.045	eV/atom
# density	2.70	g cm⁻³
# Fermi-level density of states	0.791	states/eV/atom
data_Li2LaMg2
_chemical_formula_sum 'Li4 La2 Mg4'
_space_group_name_H-M_alt 'P 4/m b m'
_space_group_IT_number 127
_space_group_name_Hall '-P 4 2ab'
_cell_length_a 8.7985
_cell_length_b 8.7985
_cell_length_c 3.2037
_cell_angle_alpha 90.00
_cell_angle_beta 90.00
_cell_angle_gamma 90.00
loop_
_atom_site_label
_atom_site_fract_x
_atom_site_fract_y
_atom_site_fract_z
Li1 0.1710 0.3290 0.0000
La1 0.0000 0.0000 0.5000
Mg1 0.1245 0.6245 0.5000

[6]
# Ga2NiSb2 (PBE, optimized geometry)
# total DFT energy (no corrections)	-39.050	eV/cell
# density	6.44	g cm⁻³
# Fermi-level density of states	0.521	states/eV/atom
# uncorrected formation energy	111.0	meV/atom
data_Ga2NiSb2
_chemical_formula_sum 'Ga4 Ni2 Sb4'
_space_group_name_H-M_alt 'P 4/m b m'
_space_group_IT_number 127
_space_group_name_Hall '-P 4 2ab'
_cell_length_a 6.6914
_cell_length_b 6.6914
_cell_length_c 5.0884
_cell_angle_alpha 90.00
_cell_angle_beta 90.00
_cell_angle_gamma 90.00
loop_
_atom_site_label
_atom_site_fract_x
_atom_site_fract_y
_atom_site_fract_z
Ga1 0.1622 0.3378 0.0000
Ni1 0.0000 0.0000 0.5000
Sb1 0.1563 0.6563 0.5000